Material: CoH3Au
Method: DFT, PBE
State: optimized geometry

Polymorph energy (0 for the lowest one) ... 0.381 eV/atom
Spin magnetization ... 0.308 μB/atom

Cell: 3.577 3.577 3.577 Å, 90.00 90.00 90.00°
Sites, in units of the cell vectors:
Co1 0.000 0.000 0.000
H1 0.000 0.500 0.500
H2 0.500 0.000 0.500
H3 0.500 0.500 0.000
Au1 0.500 0.500 0.500

***

Material: La2FeAg
Method: DFT, PBE
State: optimized geometry

Spin magnetization ... 0.000 μB/atom
Formation enthalpy at 0 K ... 51 meV per atom

Cell: 4.137 4.399 11.234 Å, 90.00 90.00 90.00°
Sites, in units of the cell vectors:
La1 0.000 0.000 0.000
La2 0.000 0.500 0.500
La3 0.500 0.000 0.306
La4 0.500 0.500 0.806
Fe1 0.500 0.000 0.502
Fe2 0.500 0.500 0.002
Ag1 0.000 0.000 0.696
Ag2 0.000 0.500 0.196

***

Material: NpMoS2
Method: DFT, PBE
State: optimized geometry

Polymorph energy (0 for the lowest one) ... 0.000 eV/atom
Spin magnetization ... 0.730 μB/atom

Cell: 6.650 3.831 7.996 Å, 90.00 106.13 90.00°
Sites, in units of the cell vectors:
Np1 0.000 0.000 0.000
Np2 0.500 0.500 0.000
Mo1 0.075 0.500 0.730
Mo2 0.575 0.000 0.730
S1 0.375 0.500 0.630
S2 0.397 0.000 0.190
S3 0.875 0.000 0.630
S4 0.897 0.500 0.190

***

Material: Pm2SmZn4
Method: DFT, PBE
State: optimized geometry

Polymorph energy (0 for the lowest one) ... 0.079 eV/atom
Spin magnetization ... 0.000 μB/atom
Formation enthalpy at 0 K ... -70 meV per atom

Cell: 5.658 5.658 10.923 Å, 90.00 90.00 90.00°
Sites, in units of the cell vectors:
Pm1 0.000 0.000 0.149
Pm2 0.000 0.000 0.851
Pm3 0.500 0.500 0.351
Pm4 0.500 0.500 0.649
Sm1 0.000 0.000 0.500
Sm2 0.500 0.500 0.000
Zn1 0.000 0.500 0.000
Zn2 0.000 0.500 0.250
Zn3 0.000 0.500 0.500
Zn4 0.000 0.500 0.750
Zn5 0.500 0.000 0.000
Zn6 0.500 0.000 0.250
Zn7 0.500 0.000 0.500
Zn8 0.500 0.000 0.750

***

| no. | E (hartree per atom) |
| --- | --- |
| 1 | -0.1239 |
| 2 | -0.1926 |
| 3 | -0.3092 |
| 4 | -0.1040 |